No. 1
Material: Re5C3
Method: DFT, PBE
State: relaxed

a b c (Å): 5.9070 5.9070 2.8375
angles (deg): 90.00 90.00 103.04
Closest atoms and distances in Å follow each position.
Element x y z (fractional)
Re1 0.0000 0.0000 0.0000  4 C 2.24
Re2 0.0000 0.5000 0.0000  4 C 2.39
Re3 0.3166 0.3166 0.5000  2 C 1.96
Re4 0.5000 0.0000 0.0000  4 C 2.39
Re5 0.6834 0.6834 0.5000  2 C 1.96
C1 0.1870 0.8130 0.5000  6 Re 2.24-2.39
C2 0.5000 0.5000 0.0000  4 Re 1.96
C3 0.8130 0.1870 0.5000  6 Re 2.24-2.39

Results
ΔH_f (0 K) = 0.846 eV/atom
excess energy over the best structure of this formula in the dataset = 0.2066 eV per atom
D(E_F) = 0.448 states/eV/atom
crystal system = orthorhombic
symmetry = No. 65


No. 2
Material: TbPdPt4
Method: DFT, PBE
State: relaxed

a b c (Å): 5.3304 5.3304 5.3304
angles (deg): 60.00 60.00 60.00
Closest atoms and distances in Å follow each position.
Element x y z (fractional)
Tb1 0.0000 0.0000 0.0000  12 Pt 3.13, 4 Pd 3.26
Pd1 0.7500 0.7500 0.7500  12 Pt 3.12, 4 Tb 3.26
Pt1 0.3754 0.3754 0.3754  6 Pt 2.66-2.67
Pt2 0.3754 0.3754 0.8739  6 Pt 2.66-2.67
Pt3 0.3754 0.8739 0.3754  6 Pt 2.66-2.67
Pt4 0.8739 0.3754 0.3754  6 Pt 2.66-2.67

Results
ΔH_f (0 K) = -0.696 eV/atom
D(E_F) = 0.729 states/eV/atom
crystal system = cubic
symmetry = No. 216


No. 3
Material: YCd4P
Method: DFT, PBE
State: relaxed

a b c (Å): 5.8175 5.8175 5.8175
angles (deg): 60.00 60.00 60.00
Closest atoms and distances in Å follow each position.
Element x y z (fractional)
Y1 0.0000 0.0000 0.0000  12 Cd 3.41, 4 P 3.56
Cd1 0.1254 0.6249 0.6249  6 Cd 2.91
Cd2 0.6249 0.1254 0.6249  6 Cd 2.91
Cd3 0.6249 0.6249 0.1254  6 Cd 2.91
Cd4 0.6249 0.6249 0.6249  6 Cd 2.91
P1 0.2500 0.2500 0.2500  12 Cd 3.41, 4 Y 3.56

Results
ΔH_f (0 K) = 0.096 eV/atom
D(E_F) = 0.565 states/eV/atom
crystal system = cubic
symmetry = No. 216


No. 4
Material: LaNi2Mo
Method: DFT, PBE
State: relaxed

a b c (Å): 4.6520 4.6520 4.6520
angles (deg): 60.00 60.00 60.00
Closest atoms and distances in Å follow each position.
Element x y z (fractional)
La1 0.0000 0.0000 0.0000  8 Ni 2.85
Ni1 0.2500 0.2500 0.2500  4 La 2.85, 4 Mo 2.85
Ni2 0.7500 0.7500 0.7500  4 La 2.85, 4 Mo 2.85
Mo1 0.5000 0.5000 0.5000  8 Ni 2.85

Results
ΔH_f (0 K) = 0.349 eV/atom
excess energy over the best structure of this formula in the dataset = 0.4079 eV per atom
D(E_F) = 1.504 states/eV/atom
crystal system = cubic
symmetry = No. 225


No. 5
Material: Y8TmSc2
Method: DFT, PBE
State: relaxed

a b c (Å): 9.2659 9.2659 6.3484
angles (deg): 109.10 109.10 42.40
Closest atoms and distances in Å follow each position.
Element x y z (fractional)
Y1 0.0683 0.0683 0.2424  1 Sc 3.11, 3 Y 3.15-3.28
Y2 0.1566 0.6389 0.2952  2 Sc 3.20-3.23, 5 Y 3.23-3.58, 1 Tm 3.40
Y3 0.2911 0.2911 0.6808  4 Sc 3.30-3.65, 1 Tm 3.46
Y4 0.3611 0.8434 0.7048  2 Sc 3.20-3.23, 5 Y 3.23-3.58, 1 Tm 3.40
Y5 0.6389 0.1566 0.2952  2 Sc 3.20-3.23, 5 Y 3.23-3.58, 1 Tm 3.40
Y6 0.7089 0.7089 0.3192  4 Sc 3.30-3.65, 1 Tm 3.46
Y7 0.8434 0.3611 0.7048  2 Sc 3.20-3.23, 5 Y 3.23-3.58, 1 Tm 3.40
Y8 0.9317 0.9317 0.7576  1 Sc 3.11, 3 Y 3.15-3.28
Tm1 0.5000 0.5000 0.0000  10 Y 3.40-3.70
Sc1 0.2249 0.2249 0.1088  7 Y 3.11-3.40
Sc2 0.7751 0.7751 0.8912  7 Y 3.11-3.40

Results
ΔH_f (0 K) = 0.191 eV/atom
excess energy over the best structure of this formula in the dataset = 0.0143 eV per atom
D(E_F) = 1.617 states/eV/atom
crystal system = monoclinic
symmetry = No. 12


No. 6
Material: ErB4Ru4
Method: DFT, PBE
State: relaxed

a b c (Å): 9.1920 9.1879 7.4764
angles (deg): 66.03 65.97 48.00
Closest atoms and distances in Å follow each position.
Element x y z (fractional)
Er1 0.1250 0.1250 0.1250  12 Ru 2.91-3.22, 12 B 2.96-3.21
Er2 0.3750 0.3750 0.3750  12 Ru 2.91-3.22, 12 B 2.96-3.22
Er3 0.6250 0.6250 0.6250  12 Ru 2.91-3.22, 12 B 2.96-3.22
Er4 0.8750 0.8750 0.8750  12 Ru 2.91-3.22, 12 B 2.96-3.21
B1 0.0671 0.3462 0.7116  1 B 1.79
B2 0.1249 0.7882 0.4332  1 B 1.79
B3 0.1537 0.4332 0.7882  1 B 1.79
B4 0.2118 0.8751 0.8463  1 B 1.79
B5 0.2884 0.6249 0.9329  1 B 1.79
B6 0.3462 0.0671 0.3751  1 B 1.79
B7 0.3751 0.7116 0.3462  1 B 1.79
B8 0.4332 0.1537 0.1249  1 B 1.79
B9 0.5668 0.8463 0.8751  1 B 1.79
B10 0.6249 0.2884 0.6538  1 B 1.79
B11 0.6538 0.9329 0.6249  1 B 1.79
B12 0.7116 0.3751 0.0671  1 B 1.79
B13 0.7882 0.1249 0.1537  1 B 1.79
B14 0.8463 0.5668 0.2118  1 B 1.79
B15 0.8751 0.2118 0.5668  1 B 1.79
B16 0.9329 0.6538 0.2884  1 B 1.79
Ru1 0.0378 0.3358 0.4479  5 B 2.14-2.29
Ru2 0.0521 0.8216 0.1640  5 B 2.14-2.28
Ru3 0.1640 0.4623 0.0521  5 B 2.14-2.28
Ru4 0.1784 0.9479 0.5377  5 B 2.14-2.28
Ru5 0.3215 0.5521 0.6642  5 B 2.14-2.29
Ru6 0.3358 0.0378 0.6785  5 B 2.14-2.29
Ru7 0.4479 0.6785 0.0378  5 B 2.14-2.29
Ru8 0.4623 0.1640 0.8216  5 B 2.14-2.28
Ru9 0.5377 0.8360 0.1784  5 B 2.14-2.28
Ru10 0.5521 0.3215 0.9622  5 B 2.14-2.29
Ru11 0.6642 0.9622 0.3215  5 B 2.14-2.29
Ru12 0.6785 0.4479 0.3358  5 B 2.14-2.29
Ru13 0.8216 0.0521 0.4623  5 B 2.14-2.28
Ru14 0.8360 0.5377 0.9479  5 B 2.14-2.28
Ru15 0.9479 0.1784 0.8360  5 B 2.14-2.28
Ru16 0.9622 0.6642 0.5521  5 B 2.14-2.29

Results
ΔH_f (0 K) = -0.500 eV/atom
excess energy over the best structure of this formula in the dataset = 0.0000 eV per atom
D(E_F) = 0.886 states/eV/atom
crystal system = orthorhombic
symmetry = No. 70


No. 7
Material: TlF
Method: DFT, PBE
State: relaxed

a b c (Å): 6.8851 6.8851 6.8851
angles (deg): 146.83 63.26 127.79
Closest atoms and distances in Å follow each position.
Element x y z (fractional)
Tl1 0.0000 0.0000 0.0000  1 F 2.49
Tl2 0.3409 0.0035 0.3374  5 F 2.56-2.84
Tl3 0.6661 0.0035 0.6626  5 F 2.56-2.84
F1 0.2482 0.5813 0.6669  5 Tl 2.56-2.84
F2 0.4102 0.4102 0.0000  1 Tl 2.49
F3 0.9144 0.5813 0.3331  5 Tl 2.56-2.84

Results
energy relative to the elements, uncorrected = -1.7285 eV per atom
excess energy over the best structure of this formula in the dataset = 0.0278 eV per atom
D(E_F) = 0.000 states/eV/atom
crystal system = orthorhombic
symmetry = No. 44


No. 8
Material: LaAg4Te
Method: DFT, PBE
State: relaxed

a b c (Å): 5.7668 5.7668 5.7668
angles (deg): 60.00 60.00 60.00
Closest atoms and distances in Å follow each position.
Element x y z (fractional)
La1 0.0000 0.0000 0.0000  12 Ag 3.38, 4 Te 3.53
Ag1 0.3750 0.3750 0.3750  6 Ag 2.88
Ag2 0.3750 0.3750 0.8751  6 Ag 2.88
Ag3 0.3750 0.8751 0.3750  6 Ag 2.88
Ag4 0.8751 0.3750 0.3750  6 Ag 2.88
Te1 0.7500 0.7500 0.7500  12 Ag 3.38, 4 La 3.53

Results
energy relative to the elements, uncorrected = -0.2601 eV per atom
D(E_F) = 0.681 states/eV/atom
crystal system = cubic
symmetry = No. 216


No. 9
Material: CrSe3
Method: DFT, PBE
State: relaxed

a b c (Å): 3.6714 3.6714 8.1699
angles (deg): 103.22 103.22 59.97
Closest atoms and distances in Å follow each position.
Element x y z (fractional)
Cr1 0.0000 0.0000 0.0000  6 Se 2.52-2.53
Se1 0.3924 0.3924 0.1741  3 Cr 2.52-2.53, 1 Se 2.57
Se2 0.5000 0.5000 0.5000  2 Se 2.57
Se3 0.6076 0.6076 0.8259  3 Cr 2.52-2.53, 1 Se 2.57

Results
energy relative to the elements, uncorrected = -0.1899 eV per atom
D(E_F) = 0.557 states/eV/atom
crystal system = monoclinic
symmetry = No. 12


No. 10
Material: LiGe2Pt
Method: DFT, PBE
State: relaxed

a b c (Å): 14.8091 7.4844 4.9921
angles (deg): 90.00 90.00 90.00
Closest atoms and distances in Å follow each position.
Element x y z (fractional)
Li1 0.1058 0.2500 0.2351  3 Pt 2.64-2.93
Li2 0.1514 0.7500 0.4811  3 Pt 2.70-2.96, 2 Ge 2.96
Li3 0.3486 0.2500 0.9811  3 Pt 2.70-2.96, 2 Ge 2.96
Li4 0.3942 0.7500 0.7351  3 Pt 2.64-2.93
Li5 0.6058 0.2500 0.2649  3 Pt 2.64-2.93
Li6 0.6514 0.7500 0.0189  3 Pt 2.70-2.96, 2 Ge 2.96
Li7 0.8486 0.2500 0.5189  3 Pt 2.70-2.96, 2 Ge 2.96
Li8 0.8942 0.7500 0.7649  3 Pt 2.64-2.93
Ge1 0.0314 0.0428 0.7398  3 Pt 2.54-2.61, 2 Ge 2.65-2.83
Ge2 0.0314 0.4572 0.7398  3 Pt 2.54-2.61, 2 Ge 2.65-2.83
Ge3 0.2148 0.5443 0.9799  3 Pt 2.56-2.64, 2 Ge 2.78
Ge4 0.2148 0.9557 0.9799  3 Pt 2.56-2.64, 2 Ge 2.78
Ge5 0.2852 0.0443 0.4799  3 Pt 2.56-2.64, 2 Ge 2.78
Ge6 0.2852 0.4557 0.4799  3 Pt 2.56-2.64, 2 Ge 2.78
Ge7 0.4686 0.5428 0.2398  3 Pt 2.54-2.61, 2 Ge 2.65-2.83
Ge8 0.4686 0.9572 0.2398  3 Pt 2.54-2.61, 2 Ge 2.65-2.83
Ge9 0.5314 0.0428 0.7602  3 Pt 2.54-2.61, 2 Ge 2.65-2.83
Ge10 0.5314 0.4572 0.7602  3 Pt 2.54-2.61, 2 Ge 2.65-2.83
Ge11 0.7148 0.5443 0.5201  3 Pt 2.56-2.64, 2 Ge 2.78
Ge12 0.7148 0.9557 0.5201  3 Pt 2.56-2.64, 2 Ge 2.78
Ge13 0.7852 0.0443 0.0201  3 Pt 2.56-2.64, 2 Ge 2.78
Ge14 0.7852 0.4557 0.0201  3 Pt 2.56-2.64, 2 Ge 2.78
Ge15 0.9686 0.5428 0.2602  3 Pt 2.54-2.61, 2 Ge 2.65-2.83
Ge16 0.9686 0.9572 0.2602  3 Pt 2.54-2.61, 2 Ge 2.65-2.83
Pt1 0.0768 0.7500 0.9885  6 Ge 2.56-2.61, 2 Li 2.70-2.76
Pt2 0.1675 0.2500 0.7304  6 Ge 2.54-2.64, 2 Li 2.64-2.68
Pt3 0.3325 0.7500 0.2304  6 Ge 2.54-2.64, 2 Li 2.64-2.68
Pt4 0.4232 0.2500 0.4885  6 Ge 2.56-2.61, 2 Li 2.70-2.76
Pt5 0.5768 0.7500 0.5115  6 Ge 2.56-2.61, 2 Li 2.70-2.76
Pt6 0.6675 0.2500 0.7696  6 Ge 2.54-2.64, 2 Li 2.64-2.68
Pt7 0.8325 0.7500 0.2696  6 Ge 2.54-2.64, 2 Li 2.64-2.68
Pt8 0.9232 0.2500 0.0115  6 Ge 2.56-2.61, 2 Li 2.70-2.76

Results
ΔH_f (0 K) = -0.422 eV/atom
excess energy over the best structure of this formula in the dataset = 0.0570 eV per atom
D(E_F) = 0.254 states/eV/atom
crystal system = orthorhombic
symmetry = No. 62